# 1
TmSbH | the Alexandria database | GGA-PBE | optimized geometry; size of the total moment = 0.000 μB/atom; electronic total energy = -4.49 eV per atom; V = 225 Å³ per cell
1.0
10.8910 0.0000 0.0000
0.0000 3.4345 0.0000
0.0000 0.0000 6.0023
Tm Sb H
4 4 4
Direct
0.1866 0.2500 0.2504
0.3134 0.7500 0.7504
0.6866 0.2500 0.2496
0.8134 0.7500 0.7496
0.0643 0.2500 0.7368
0.4357 0.7500 0.2368
0.5643 0.2500 0.7632
0.9357 0.7500 0.2632
0.1916 0.7500 0.0481
0.3084 0.2500 0.5481
0.6916 0.7500 0.4519
0.8084 0.2500 0.9519

---

# 2
TmSbH | the Alexandria database | GGA-PBE | optimized geometry; size of the total moment = 0.000 μB/atom; electronic total energy = -4.64 eV per atom; V = 108 Å³ per cell
1.0
3.9297 0.0000 0.0000
0.0000 3.9297 0.0000
0.0000 0.0000 7.0096
Tm Sb H
2 2 2
Direct
0.2500 0.2500 0.1638
0.7500 0.7500 0.8362
0.2500 0.2500 0.6389
0.7500 0.7500 0.3611
0.2500 0.7500 0.0000
0.7500 0.2500 0.0000

---

# 3
Tm12Sb6H | the Alexandria database | GGA-PBE | optimized geometry; size of the total moment = 0.000 μB/atom; electronic total energy = -4.85 eV per atom; V = 541 Å³ per cell
1.0
6.3909 3.6898 3.8249
-6.3909 3.6898 3.8249
0.0000 -7.3795 3.8249
Tm Sb H
12 6 1
Direct
0.0048 0.9379 0.6997
0.0621 0.3003 0.9952
0.1934 0.5376 0.4123
0.3003 0.9952 0.0621
0.4123 0.1934 0.5376
0.4624 0.5877 0.8066
0.5376 0.4123 0.1934
0.5877 0.8066 0.4624
0.6997 0.0048 0.9379
0.8066 0.4624 0.5877
0.9379 0.6997 0.0048
0.9952 0.0621 0.3003
0.1172 0.3080 0.6480
0.3080 0.6480 0.1172
0.3520 0.8828 0.6920
0.6480 0.1172 0.3080
0.6920 0.3520 0.8828
0.8828 0.6920 0.3520
0.0000 0.0000 0.0000

---

# 4
Tm2SbH2 | the Alexandria database | GGA-PBE | optimized geometry; size of the total moment = 0.000 μB/atom; electronic total energy = -4.71 eV per atom; V = 83 Å³ per cell
1.0
0.0000 2.7183 5.6458
2.7101 0.0000 5.6458
2.7101 2.7183 0.0000
Tm Sb H
2 1 2
Direct
0.1474 0.1474 0.8526
0.8526 0.8526 0.1474
0.5000 0.5000 0.5000
0.2500 0.2500 0.2500
0.7500 0.7500 0.7500

---

# 5
Tm3Sb2H | the Alexandria database | GGA-PBE | optimized geometry; size of the total moment = 0.000 μB/atom; electronic total energy = -4.84 eV per atom; V = 289 Å³ per cell
1.0
6.2975 -3.0332 0.0000
6.2975 3.0332 0.0000
-1.2587 0.0000 7.5693
Tm Sb H
6 4 2
Direct
0.1341 0.8659 0.7500
0.2504 0.4496 0.3309
0.4496 0.2504 0.8309
0.5504 0.7496 0.1691
0.7496 0.5504 0.6691
0.8659 0.1341 0.2500
0.0927 0.2342 0.0187
0.2342 0.0927 0.5187
0.7658 0.9073 0.4813
0.9073 0.7658 0.9813
0.4787 0.5213 0.7500
0.5213 0.4787 0.2500

---

# 6
Tm3SbH | the Alexandria database | GGA-PBE | optimized geometry; size of the total moment = 0.000 μB/atom; electronic total energy = -4.65 eV per atom; V = 105 Å³ per cell
1.0
4.7111 0.0000 0.0000
0.0000 4.7111 0.0000
0.0000 0.0000 4.7111
Tm Sb H
3 1 1
Direct
0.0000 0.0000 0.5000
0.0000 0.5000 0.0000
0.5000 0.0000 0.0000
0.5000 0.5000 0.5000
0.0000 0.0000 0.0000

---

# 7
Tm5Sb4H | the Alexandria database | GGA-PBE | optimized geometry; size of the total moment = 0.000 μB/atom; electronic total energy = -5.01 eV per atom; V = 274 Å³ per cell
1.0
-4.7488 4.7488 3.0372
4.7488 -4.7488 3.0372
4.7488 4.7488 -3.0372
Tm Sb H
5 4 1
Direct
0.0000 0.0000 0.0000
0.2874 0.6911 0.7996
0.4878 0.2874 0.5963
0.6911 0.8915 0.4037
0.8915 0.4878 0.2004
0.1878 0.3858 0.3955
0.3858 0.9903 0.1980
0.7923 0.1878 0.8020
0.9903 0.7923 0.6045
0.6392 0.6392 0.0000

---

# 8
Tm3SbH | the Alexandria database | GGA-PBE | optimized geometry; size of the total moment = 0.000 μB/atom; electronic total energy = -4.70 eV per atom; V = 228 Å³ per cell
1.0
6.3909 0.0000 0.0000
0.0000 3.8704 0.0000
-1.7619 0.0000 9.2293
Tm Sb H
6 2 2
Direct
0.0920 0.2500 0.3540
0.2649 0.7500 0.0890
0.4079 0.7500 0.6247
0.5921 0.2500 0.3753
0.7351 0.2500 0.9110
0.9080 0.7500 0.6460
0.2190 0.2500 0.8371
0.7810 0.7500 0.1629
0.3170 0.7500 0.3426
0.6830 0.2500 0.6574

---

# 9
Tm4Sb3H | the Alexandria database | GGA-PBE | optimized geometry; size of the total moment = 0.000 μB/atom; electronic total energy = -4.71 eV per atom; V = 477 Å³ per cell
1.0
9.5508 0.0000 0.0000
0.0000 8.1750 0.0000
0.0000 0.0000 6.1113
Tm Sb H
8 6 2
Direct
0.0000 0.0958 0.0000
0.0000 0.8291 0.4849
0.1994 0.7055 0.9999
0.3006 0.2945 0.4999
0.5000 0.1709 0.9849
0.5000 0.9042 0.5000
0.6994 0.2945 0.4999
0.8006 0.7055 0.9999
0.0000 0.1848 0.5029
0.2331 0.3413 0.0022
0.2669 0.6587 0.5022
0.5000 0.8152 0.0029
0.7331 0.6587 0.5022
0.7669 0.3413 0.0022
0.0000 0.8332 0.8464
0.5000 0.1668 0.3464

---

# 10
TmSbH | the Alexandria database | GGA-PBE | optimized geometry; size of the total moment = 0.000 μB/atom; electronic total energy = -4.69 eV per atom; V = 55 Å³ per cell
1.0
3.6980 0.0000 0.0000
-1.8490 3.2026 0.0000
0.0000 0.0000 4.6582
Tm Sb H
1 1 1
Direct
0.0000 0.0000 0.0000
0.6667 0.3333 0.5000
0.3333 0.6667 0.0000

---

# 11
TmSbH | the Alexandria database | GGA-PBE | optimized geometry; size of the total moment = 0.000 μB/atom; electronic total energy = -4.37 eV per atom; V = 57 Å³ per cell
1.0
-1.6099 1.6099 5.5287
1.6099 -1.6099 5.5287
1.6099 1.6099 -5.5287
Tm Sb H
1 1 1
Direct
0.0000 0.0000 0.0000
0.2846 0.2846 0.0000
0.5516 0.5516 0.0000

---

# 12
Tm2Zr2Sb2H | the Alexandria database | GGA-PBE | optimized geometry; size of the total moment = 0.000 μB/atom; electronic total energy = -6.16 eV per atom; V = 150 Å³ per cell
1.0
-2.1423 2.1423 8.1493
2.1423 -2.1423 8.1493
2.1423 2.1423 -8.1493
Tm Zr Sb H
2 2 2 1
Direct
0.1760 0.1760 0.0000
0.8240 0.8240 0.0000
0.0000 0.5000 0.5000
0.5000 0.0000 0.5000
0.3651 0.3651 0.0000
0.6349 0.6349 0.0000
0.0000 0.0000 0.0000